<P>
Compound: ZnP2OsO
Source: Alexandria via LeMat-Bulk
Functional: PBE
Structure: optimized geometry Values from VASP.

```
&SYSTEM
  ibrav = 0, nat = 5, ntyp = 4
/
ATOMIC_SPECIES
P 30.97 P.upf
Os 190.23 Os.upf
Zn 65.41 Zn.upf
O 16.00 O.upf
CELL_PARAMETERS angstrom
-2.5522 3.8891 0.7821
-0.2355 -1.0769 4.5865
2.8741 1.7727 0.5638
ATOMIC_POSITIONS crystal
P 0.0000 0.5000 0.0000
Os 0.5000 0.5000 0.5000
P 0.5000 0.0000 0.0000
Zn 0.0000 0.0000 0.0000
O 0.0000 0.0000 0.5000
```

Values from the calculation:
Calculated volume: 76 Å³ per cell


<Q>
Compound: ZnP2OsO
Source: Alexandria via LeMat-Bulk
Functional: PBE
Structure: optimized geometry Values from VASP.

```
&SYSTEM
  ibrav = 0, nat = 5, ntyp = 4
/
ATOMIC_SPECIES
Zn 65.41 Zn.upf
P 30.97 P.upf
O 16.00 O.upf
Os 190.23 Os.upf
CELL_PARAMETERS angstrom
-3.0225 0.2023 -3.7097
2.6610 -3.2194 -2.3436
-1.9928 -2.7211 1.4753
ATOMIC_POSITIONS crystal
Zn 0.5000 0.5000 0.5000
P 0.5000 0.0000 0.0000
P 0.0000 0.5000 0.0000
O 0.0000 0.0000 0.5000
Os 0.0000 0.0000 0.0000
```

Values from the calculation:
Calculated volume: 84 Å³ per cell


Most favorable first, least favorable last: <Q>, <P>


<P>
Compound: ZrPOsO2
Source: Alexandria via LeMat-Bulk
Functional: PBE
Structure: optimized geometry Values from VASP.

```
&SYSTEM
  ibrav = 0, nat = 5, ntyp = 4
/
ATOMIC_SPECIES
Os 190.23 Os.upf
Zr 91.22 Zr.upf
O 16.00 O.upf
P 30.97 P.upf
CELL_PARAMETERS angstrom
3.9558 0.0000 0.0000
0.0000 3.9558 0.0000
0.0000 0.0000 5.6783
ATOMIC_POSITIONS crystal
Os 0.5000 0.5000 0.5000
Zr 0.0000 0.0000 0.0000
O 0.5000 0.0000 0.0000
O 0.0000 0.5000 0.0000
P 0.0000 0.0000 0.5000
```

Values from the calculation:
Calculated volume: 89 Å³ per cell


<Q>
Compound: ZrPOsO2
Source: Alexandria via LeMat-Bulk
Functional: PBE
Structure: optimized geometry Values from VASP.

```
&SYSTEM
  ibrav = 0, nat = 5, ntyp = 4
/
ATOMIC_SPECIES
P 30.97 P.upf
Os 190.23 Os.upf
O 16.00 O.upf
Zr 91.22 Zr.upf
CELL_PARAMETERS angstrom
-0.5113 3.6857 0.8943
-1.9670 -1.0292 3.1173
4.2742 -0.0569 2.6782
ATOMIC_POSITIONS crystal
P 0.0000 0.0000 0.5000
Os 0.0000 0.0000 0.0000
O 0.0000 0.5000 0.0000
Zr 0.5000 0.5000 0.5000
O 0.5000 0.0000 0.0000
```

Values from the calculation:
Calculated volume: 74 Å³ per cell


Most favorable first, least favorable last: <Q>, <P>


<P>
Compound: Pa2OsO
Source: Alexandria via LeMat-Bulk
Functional: PBE
Structure: optimized geometry Values from VASP.

```
&SYSTEM
  ibrav = 0, nat = 4, ntyp = 3
/
ATOMIC_SPECIES
Os 190.23 Os.upf
O 16.00 O.upf
Pa 231.04 Pa.upf
CELL_PARAMETERS angstrom
-1.9364 -2.7512 -1.5438
0.8713 -1.2004 -3.3915
3.6787 -5.5854 0.9019
ATOMIC_POSITIONS crystal
Os 0.0000 0.0000 0.0000
O 0.5000 0.5000 0.5000
Pa 0.2400 0.2400 0.2800
Pa 0.7600 0.7600 0.7200
```

Values from the calculation:
Calculated volume: 76 Å³ per cell


<Q>
Compound: Pa2OsO
Source: Alexandria via LeMat-Bulk
Functional: PBE
Structure: optimized geometry Values from VASP.

```
&SYSTEM
  ibrav = 0, nat = 4, ntyp = 3
/
ATOMIC_SPECIES
O 16.00 O.upf
Pa 231.04 Pa.upf
Os 190.23 Os.upf
CELL_PARAMETERS angstrom
3.0719 0.0000 0.0000
0.0000 3.0719 0.0000
0.0000 0.0000 7.2381
ATOMIC_POSITIONS crystal
O 0.5000 0.5000 0.0000
Pa 0.0000 0.0000 0.7740
Os 0.5000 0.5000 0.5000
Pa 0.0000 0.0000 0.2260
```

Values from the calculation:
Calculated volume: 68 Å³ per cell


Most favorable first, least favorable last: <P>, <Q>